(1)
Here is crystalline BaCaO at its relaxed geometry from Alexandria. Energies are from PBE.

Calculated values
M_tot (μB/f.u.): 0.0
Space-group type: P2_1/c, No. 14
Formation energy from raw total energies (meV/atom): -1702
Energy above the lowest structure with this stoichiometry (meV/atom): 0.0

Unit cell a=8.702 b=6.638 c=7.344 alpha=90.00 beta=113.98 gamma=90.00
Element x y z (fractional)
Ba 0.146 0.185 0.355
Ba 0.146 0.315 0.855
Ba 0.854 0.685 0.145
Ba 0.854 0.815 0.645
Ca 0.423 0.660 0.613
Ca 0.423 0.840 0.113
Ca 0.577 0.160 0.887
Ca 0.577 0.340 0.387
O 0.431 0.184 0.092
O 0.431 0.316 0.592
O 0.569 0.684 0.408
O 0.569 0.816 0.908

***

(2)
Here is crystalline Ba2CaO at its relaxed geometry from Alexandria. Energies are from PBE.

Calculated values
M_tot (μB/f.u.): 0.0
Space-group type: R-3m, No. 166
Formation energy from raw total energies (meV/atom): -1056

Unit cell a=3.951 b=3.951 c=32.676 alpha=90.00 beta=90.00 gamma=120.00
Element x y z (fractional)
Ba 0.000 0.000 0.119
Ba 0.000 0.000 0.881
Ba 0.333 0.667 0.548
Ba 0.333 0.667 0.786
Ba 0.667 0.333 0.214
Ba 0.667 0.333 0.452
Ca 0.000 0.000 0.000
Ca 0.333 0.667 0.667
Ca 0.667 0.333 0.333
O 0.000 0.000 0.500
O 0.333 0.667 0.167
O 0.667 0.333 0.833

***

(3)
Here is crystalline BaCa3O at its relaxed geometry from Alexandria. Energies are from PBE.

Calculated values
M_tot (μB/f.u.): 4.4
Space-group type: Pm-3m, No. 221
Formation energy from raw total energies (meV/atom): 1331
Energy above the lowest structure with this stoichiometry (meV/atom): 2114.1

Unit cell a=6.299 b=6.299 c=6.299 alpha=90.00 beta=90.00 gamma=90.00
Element x y z (fractional)
Ba 0.000 0.000 0.000
Ca 0.000 0.000 0.500
Ca 0.000 0.500 0.000
Ca 0.500 0.000 0.000
O 0.500 0.500 0.500

***

(4)
Here is crystalline BaCa2O at its relaxed geometry from Alexandria. Energies are from PBE.

Calculated values
M_tot (μB/f.u.): 0.0
Space-group type: Fd-3m, No. 227
Formation energy from raw total energies (meV/atom): -1337

Unit cell a=7.416 b=7.416 c=7.416 alpha=60.00 beta=60.00 gamma=60.00
Element x y z (fractional)
Ba 0.125 0.125 0.125
Ba 0.875 0.875 0.875
Ca 0.000 0.500 0.500
Ca 0.500 0.000 0.500
Ca 0.500 0.500 0.000
Ca 0.500 0.500 0.500
O 0.375 0.375 0.375
O 0.625 0.625 0.625

***

(5)
Here is crystalline BaCa3O at its relaxed geometry from Alexandria. Energies are from PBE.

Calculated values
M_tot (μB/f.u.): 0.0
Space-group type: Pm-3m, No. 221
Formation energy from raw total energies (meV/atom): -783
Energy above the lowest structure with this stoichiometry (meV/atom): 0.0

Unit cell a=5.365 b=5.365 c=5.365 alpha=90.00 beta=90.00 gamma=90.00
Element x y z (fractional)
Ba 0.000 0.000 0.000
Ca 0.000 0.500 0.500
Ca 0.500 0.000 0.500
Ca 0.500 0.500 0.000
O 0.500 0.500 0.500

***

(6)
Here is crystalline BaCaO at its relaxed geometry from Alexandria. Energies are from PBE.

Calculated values
M_tot (μB/f.u.): 0.0
Space-group type: P3m1, No. 156
Formation energy from raw total energies (meV/atom): -1609
Energy above the lowest structure with this stoichiometry (meV/atom): 93.2

Unit cell a=3.708 b=3.708 c=6.977 alpha=90.00 beta=90.00 gamma=120.00
Element x y z (fractional)
Ba 0.000 0.000 0.000
Ca 0.333 0.667 0.429
O 0.667 0.333 0.284

***

(7)
Here is crystalline Ba2CaO at its relaxed geometry from Alexandria. Energies are from PBE.

Calculated values
M_tot (μB/f.u.): 0.0
Space-group type: I-42d, No. 122
Formation energy from raw total energies (meV/atom): -1107

Unit cell a=8.182 b=8.182 c=11.033 alpha=90.00 beta=90.00 gamma=90.00
Element x y z (fractional)
Ba 0.080 0.250 0.125
Ba 0.250 0.580 0.375
Ba 0.250 0.920 0.875
Ba 0.420 0.250 0.625
Ba 0.580 0.750 0.625
Ba 0.750 0.080 0.875
Ba 0.750 0.420 0.375
Ba 0.920 0.750 0.125
Ca 0.000 0.000 0.500
Ca 0.000 0.500 0.750
Ca 0.500 0.000 0.250
Ca 0.500 0.500 0.000
O 0.000 0.000 0.000
O 0.000 0.500 0.250
O 0.500 0.000 0.750
O 0.500 0.500 0.500

***

(8)
Here is crystalline BaCa3O4 at its relaxed geometry from Alexandria. Energies are from PBE.

Calculated values
M_tot (μB/f.u.): 0.0
Space-group type: Pm-3m, No. 221
Formation energy from raw total energies (meV/atom): -2655

Unit cell a=5.106 b=5.106 c=5.106 alpha=90.00 beta=90.00 gamma=90.00
Element x y z (fractional)
Ba 0.000 0.000 0.000
Ca 0.000 0.500 0.500
Ca 0.500 0.000 0.500
Ca 0.500 0.500 0.000
O 0.000 0.000 0.500
O 0.000 0.500 0.000
O 0.500 0.000 0.000
O 0.500 0.500 0.500

***

(9)
Here is crystalline Ba2CaOsO6 at its relaxed geometry from Alexandria. Energies are from PBE.

Calculated values
M_tot (μB/f.u.): 2.0
Space-group type: Fm-3m, No. 225
Formation energy from raw total energies (meV/atom): -2263

Unit cell a=5.983 b=5.983 c=5.983 alpha=60.00 beta=60.00 gamma=60.00
Element x y z (fractional)
Ba 0.250 0.250 0.250
Ba 0.750 0.750 0.750
Ca 0.000 0.000 0.000
Os 0.500 0.500 0.500
O 0.270 0.270 0.730
O 0.270 0.730 0.270
O 0.270 0.730 0.730
O 0.730 0.270 0.270
O 0.730 0.270 0.730
O 0.730 0.730 0.270

***

(10)
Here is crystalline Ba2CaOs3O12 at its relaxed geometry from Alexandria. Energies are from PBE.

Calculated values
M_tot (μB/f.u.): 3.0
Space-group type: R-3m, No. 166
Formation energy from raw total energies (meV/atom): -1659

Unit cell a=6.975 b=6.975 c=6.975 alpha=63.81 beta=63.81 gamma=63.81
Element x y z (fractional)
Ba 0.113 0.113 0.113
Ba 0.887 0.887 0.887
Ca 0.500 0.500 0.500
Os 0.000 0.500 0.500
Os 0.500 0.000 0.500
Os 0.500 0.500 0.000
O 0.080 0.628 0.628
O 0.213 0.213 0.610
O 0.213 0.610 0.213
O 0.372 0.372 0.920
O 0.372 0.920 0.372
O 0.390 0.787 0.787
O 0.610 0.213 0.213
O 0.628 0.080 0.628
O 0.628 0.628 0.080
O 0.787 0.390 0.787
O 0.787 0.787 0.390
O 0.920 0.372 0.372

***

(11)
Here is crystalline BaCaOsO6 at its relaxed geometry from Alexandria. Energies are from PBE.

Calculated values
M_tot (μB/f.u.): 0.0
Space-group type: P312, No. 149
Formation energy from raw total energies (meV/atom): -1891

Unit cell a=5.679 b=5.679 c=5.523 alpha=90.00 beta=90.00 gamma=120.00
Element x y z (fractional)
Ba 0.000 0.000 0.000
Ca 0.333 0.667 0.500
Os 0.667 0.333 0.500
O 0.403 0.056 0.696
O 0.403 0.347 0.304
O 0.653 0.056 0.304
O 0.653 0.597 0.696
O 0.944 0.347 0.696
O 0.944 0.597 0.304